Crystalline CsCu2F3 at its relaxed geometry. Source: OQMD via LeMat-Bulk, functional PBE.

Properties
The calculation puts the total energy at -3.801 eV/atom.

```
CsCu2F3
1.0
3.5160 -5.9614 0.0000
3.5160 5.9614 0.0000
0.0000 0.0000 4.8851
Cs Cu F
2 4 6
Direct
0.7020 0.2980 0.2500
0.2980 0.7020 0.7500
0.1843 0.1843 0.0000
0.8157 0.8157 0.0000
0.1843 0.1843 0.5000
0.8157 0.8157 0.5000
0.1497 0.3867 0.2500
0.6133 0.8503 0.2500
0.1311 0.8689 0.2500
0.8689 0.1311 0.7500
0.3867 0.1497 0.7500
0.8503 0.6133 0.7500
```

***

Crystalline Cs2CuF4 at its relaxed geometry. Source: OQMD via LeMat-Bulk, functional PBE.

Properties
The value obtained for the relative energy among the computed polymorphs is 62 meV per atom. The calculation puts the total energy at -3.983 eV/atom.

```
Cs2CuF4
1.0
2.2411 -6.5788 0.0000
2.2411 6.5788 0.0000
0.0000 0.0000 3.9689
Cs Cu F
2 1 4
Direct
0.6506 0.3494 0.5000
0.3494 0.6506 0.5000
0.0000 0.0000 0.0000
0.8519 0.1481 0.0000
0.5000 0.5000 0.0000
0.1481 0.8519 0.0000
0.0000 0.0000 0.5000
```

***

Crystalline Cs2CuHgF6 at its relaxed geometry. Source: OQMD via LeMat-Bulk, functional PBE.

Properties
The calculation puts the total energy at -3.658 eV/atom.

```
Cs2CuHgF6
1.0
-3.7109 -4.2747 -2.1961
-5.2109 -1.2544 2.8531
-5.2955 1.5779 -2.5170
Cs Cu F Hg
2 1 6 1
Direct
0.2500 0.2500 0.2500
0.7500 0.7500 0.7500
0.0000 0.0000 0.0000
0.7658 0.2342 0.2342
0.2342 0.7658 0.2342
0.7658 0.7658 0.2342
0.2342 0.2342 0.7658
0.7658 0.2342 0.7658
0.2342 0.7658 0.7658
0.5000 0.5000 0.5000
```